Material: Nb2Zn2Rh3
Method: DFT, GGA-PBE
State: optimized geometry

density of states at the Fermi level	11.574	states/eV per cell
size of the total moment	0.00	μB/cell
calculated formation energy	-0.354	eV/atom

Structure (CIF):
```
data_Nb2Zn2Rh3
_symmetry_space_group_name_H-M 'C m m m'
_symmetry_Int_Tables_number 65
_symmetry_space_group_name_Hall '-C 2 2'
_cell_length_a 2.886
_cell_length_b 26.295
_cell_length_c 2.895
_cell_angle_alpha 90.00
_cell_angle_beta 90.00
_cell_angle_gamma 90.00
loop_
_atom_site_label
_atom_site_type_symbol
_atom_site_fract_x
_atom_site_fract_y
_atom_site_fract_z
_atom_site_occupancy
Nb1 Nb 0.000 0.073 0.000 1
Zn1 Zn 0.000 0.208 0.000 1
Rh1 Rh 0.000 0.355 0.500 1
Rh2 Rh 0.000 0.500 0.500 1
```



Material: NbZnRh
Method: DFT, GGA-PBE
State: optimized geometry

density of states at the Fermi level	3.764	states/eV per cell
size of the total moment	0.00	μB/cell
calculated formation energy	-0.333	eV/atom

Structure (CIF):
```
data_NbZnRh
_symmetry_space_group_name_H-M 'I m m 2'
_symmetry_Int_Tables_number 44
_symmetry_space_group_name_Hall 'I 2 -2'
_cell_length_a 2.867
_cell_length_b 3.887
_cell_length_c 8.290
_cell_angle_alpha 90.00
_cell_angle_beta 90.00
_cell_angle_gamma 90.00
loop_
_atom_site_label
_atom_site_type_symbol
_atom_site_fract_x
_atom_site_fract_y
_atom_site_fract_z
_atom_site_occupancy
Nb1 Nb 0.000 0.000 0.000 1
Zn1 Zn 0.000 0.000 0.671 1
Rh1 Rh 0.000 0.000 0.328 1
```



Material: NbZn2Rh2
Method: DFT, GGA-PBE
State: optimized geometry

density of states at the Fermi level	8.125	states/eV per cell
size of the total moment	0.00	μB/cell
calculated formation energy	-0.274	eV/atom

Structure (CIF):
```
data_NbZn2Rh2
_symmetry_space_group_name_H-M 'P 4/m b m'
_symmetry_Int_Tables_number 127
_symmetry_space_group_name_Hall '-P 4 2ab'
_cell_length_a 7.201
_cell_length_b 7.201
_cell_length_c 2.873
_cell_angle_alpha 90.00
_cell_angle_beta 90.00
_cell_angle_gamma 90.00
loop_
_atom_site_label
_atom_site_type_symbol
_atom_site_fract_x
_atom_site_fract_y
_atom_site_fract_z
_atom_site_occupancy
Nb1 Nb 0.000 0.000 0.000 1
Zn1 Zn 0.119 0.381 0.000 1
Rh1 Rh 0.180 0.680 0.500 1
```



Material: Nb2ZnRh
Method: DFT, GGA-PBE
State: optimized geometry

density of states at the Fermi level	20.284	states/eV per cell
size of the total moment	6.05	μB/cell
calculated formation energy	-0.041	eV/atom

Structure (CIF):
```
data_Nb2ZnRh
_symmetry_space_group_name_H-M 'F -4 3 m'
_symmetry_Int_Tables_number 216
_symmetry_space_group_name_Hall 'F -4 2 3'
_cell_length_a 6.391
_cell_length_b 6.391
_cell_length_c 6.391
_cell_angle_alpha 90.00
_cell_angle_beta 90.00
_cell_angle_gamma 90.00
loop_
_atom_site_label
_atom_site_type_symbol
_atom_site_fract_x
_atom_site_fract_y
_atom_site_fract_z
_atom_site_occupancy
Nb1 Nb 0.000 0.000 0.000 1
Nb2 Nb 0.250 0.250 0.250 1
Zn1 Zn 0.250 0.250 0.750 1
Rh1 Rh 0.000 0.000 0.500 1
```



Material: Nb2Zn3Rh4
Method: DFT, GGA-PBE
State: optimized geometry

density of states at the Fermi level	7.715	states/eV per cell
size of the total moment	0.00	μB/cell
calculated formation energy	-0.441	eV/atom

Structure (CIF):
```
data_Nb2Zn3Rh4
_symmetry_space_group_name_H-M 'C 1 2/m 1'
_symmetry_Int_Tables_number 12
_symmetry_space_group_name_Hall '-C 2y'
_cell_length_a 8.391
_cell_length_b 3.974
_cell_length_c 8.272
_cell_angle_alpha 90.00
_cell_angle_beta 103.10
_cell_angle_gamma 90.00
loop_
_atom_site_label
_atom_site_type_symbol
_atom_site_fract_x
_atom_site_fract_y
_atom_site_fract_z
_atom_site_occupancy
Nb1 Nb 0.172 0.000 0.220 1
Zn1 Zn 0.000 0.500 0.000 1
Zn2 Zn 0.158 0.000 0.556 1
Rh1 Rh 0.012 0.500 0.333 1
Rh2 Rh 0.162 0.000 0.890 1
```



Material: Nb2Zn2Rh
Method: DFT, GGA-PBE
State: optimized geometry

density of states at the Fermi level	8.534	states/eV per cell
size of the total moment	0.00	μB/cell
calculated formation energy	-0.063	eV/atom

Structure (CIF):
```
data_Nb2Zn2Rh
_symmetry_space_group_name_H-M 'P 4/m b m'
_symmetry_Int_Tables_number 127
_symmetry_space_group_name_Hall '-P 4 2ab'
_cell_length_a 6.546
_cell_length_b 6.546
_cell_length_c 3.714
_cell_angle_alpha 90.00
_cell_angle_beta 90.00
_cell_angle_gamma 90.00
loop_
_atom_site_label
_atom_site_type_symbol
_atom_site_fract_x
_atom_site_fract_y
_atom_site_fract_z
_atom_site_occupancy
Nb1 Nb 0.171 0.329 0.000 1
Zn1 Zn 0.131 0.631 0.500 1
Rh1 Rh 0.000 0.000 0.500 1
```